AgBP2O: single point on PBEsol structure, meta-GGA SCAN.

Calculated values
formation energy (no corrections) = 1815.1 meV per atom
total moment = 0.00 μB per formula unit
uncorrected energy = -56.75 eV per formula unit

Cell: 4.7542 4.7542 3.7842 Å, 90.00 90.00 90.00°
Sites, in units of the cell vectors:
Ag1 0.0000 0.0000 0.0000
B1 0.5000 0.5000 0.5000
P1 0.0000 0.5000 0.0000
P2 0.5000 0.0000 0.0000
O1 0.0000 0.0000 0.5000